1.
La2CdCu2 | the Alexandria database | GGA-PBE | optimized geometry; ΔH_f (0 K) = -0.08 eV/atom; space group = I4/mmm; spin magnetization = 0.00 μB/f.u.
1.0
-0.9928 1.6572 3.0168
-3.2259 0.6470 -1.4170
-5.3158 -7.1539 4.3075
Cu Cd La
2 1 2
direct
0.7500 0.2500 0.5000 Cu
0.2500 0.7500 0.5000 Cu
0.0000 0.0000 0.0000 Cd
0.6194 0.6194 0.7612 La
0.3806 0.3806 0.2388 La

2.
LaCd5Cu2 | the Alexandria database | GGA-PBE | optimized geometry; ΔH_f (0 K) = -0.16 eV/atom; space group = Immm; spin magnetization = 0.00 μB/f.u.
1.0
4.0655 0.0000 1.3458
1.4955 6.2462 2.2959
-0.0008 -0.2488 6.8163
Cd Cu La
5 2 1
direct
0.6531 0.1576 0.5362 Cd
0.3469 0.8424 0.4638 Cd
0.0000 0.5000 0.5000 Cd
0.6531 0.5362 0.1576 Cd
0.3469 0.4638 0.8424 Cd
0.2656 0.2344 0.2344 Cu
0.7344 0.7656 0.7656 Cu
0.0000 0.0000 0.0000 La

3.
La4CdCu | the Alexandria database | GGA-PBE | optimized geometry; ΔH_f (0 K) = -0.14 eV/atom; space group = P4/mmm; spin magnetization = 1.26 μB/f.u.; distance to the lowest polymorph of the same formula = 0 meV/atom
1.0
-1.1244 -0.7641 3.5265
3.0110 -2.2342 0.4761
6.7907 10.0791 4.3487
Cd La Cu
1 4 1
direct
0.0000 0.0000 0.0000 Cd
0.5000 0.5000 0.8382 La
0.5000 0.5000 0.1618 La
0.9999 0.9999 0.6332 La
0.0001 0.0001 0.3668 La
0.5000 0.5000 0.5000 Cu

4.
La6Cd5Cu | the Alexandria database | GGA-PBE | optimized geometry; ΔH_f (0 K) = -0.29 eV/atom; space group = C2/m; spin magnetization = 0.00 μB/f.u.
1.0
5.4018 -0.3493 0.8908
-0.0216 7.2576 2.9761
1.2653 0.3740 9.4346
La Cd Cu
6 5 1
direct
0.5000 0.2314 0.0000 La
0.8414 0.0800 0.3179 La
0.8414 0.6019 0.3179 La
0.1586 0.3981 0.6821 La
0.5000 0.7686 0.0000 La
0.1586 0.9200 0.6821 La
0.6668 0.6674 0.6652 Cd
0.0000 0.5000 0.0000 Cd
0.3332 0.3326 0.3348 Cd
0.3205 0.8203 0.3595 Cd
0.6795 0.1797 0.6405 Cd
0.0000 0.0000 0.0000 Cu

5.
LaCd4Cu4 | the Alexandria database | GGA-PBE | optimized geometry; ΔH_f (0 K) = 0.03 eV/atom; space group = I4/m; spin magnetization = 0.00 μB/f.u.
1.0
-0.4763 -1.6877 4.2134
1.0695 -8.3661 -3.2302
8.9183 0.6502 1.2686
Cd Cu La
8 8 2
direct
0.9999 0.1179 0.6326 Cd
0.9999 0.8821 0.3674 Cd
0.5001 0.3821 0.8674 Cd
0.0001 0.6326 0.8821 Cd
0.4999 0.8674 0.6179 Cd
0.4999 0.1326 0.3821 Cd
0.5001 0.6179 0.1326 Cd
0.0001 0.3674 0.1179 Cd
0.5000 0.0933 0.8099 Cu
0.0000 0.6901 0.5933 Cu
0.0000 0.4067 0.6901 Cu
0.5000 0.9067 0.1901 Cu
0.5000 0.8099 0.9067 Cu
0.0000 0.5933 0.3099 Cu
0.5000 0.1901 0.0933 Cu
0.0000 0.3099 0.4067 Cu
0.5000 0.5000 0.5000 La
0.0000 0.0000 0.0000 La

6.
La6Cd2Cu | the Alexandria database | GGA-PBE | optimized geometry; ΔH_f (0 K) = -0.08 eV/atom; space group = P2_1/c; spin magnetization = 0.00 μB/f.u.; distance to the lowest polymorph of the same formula = 90 meV/atom
1.0
6.5254 0.0000 0.4811
0.0000 8.1695 0.0000
-0.2184 0.0000 10.8766
Cd La Cu
4 12 2
direct
0.1231 0.6113 0.2388 Cd
0.8769 0.3887 0.7612 Cd
0.6231 0.8887 0.7388 Cd
0.3769 0.1113 0.2612 Cd
0.3637 0.5359 0.7441 La
0.1310 0.3432 0.4667 La
0.8898 0.7029 0.9572 La
0.3898 0.7971 0.4572 La
0.1102 0.2971 0.0428 La
0.1363 0.0359 0.7559 La
0.8637 0.9641 0.2441 La
0.3690 0.8432 0.0333 La
0.6363 0.4641 0.2559 La
0.6310 0.1568 0.9667 La
0.6102 0.2029 0.5428 La
0.8690 0.6568 0.5333 La
0.5000 0.5000 0.0000 Cu
0.0000 0.0000 0.5000 Cu

no.,VASP energy (eV for the cell shown),DOS at the Fermi energy (states/eV/atom)
1,-19.359,0.562
2,-18.959,0.540
3,-25.536,1.157
4,-41.662,1.295
5,-49.322,0.574
6,-72.470,1.398